Record 1
Ta2AsSe: relaxed, PBE-GGA.

E_form (uncorrected) = -0.2976 eV per atom
D(E_F) = 3.0 states/eV/cell
Energy above the most stable polymorph in this dataset = 9.7 kJ/mol of atoms
Crystal system = monoclinic
DFT total energy = -33.0 eV/cell

Lattice parameters (Å, degrees): 4.890 4.890 4.734 75.87 75.87 39.08
Fractional coordinates of all 4 atoms:
1 As 0.490 0.490 0.562
2 Ta 0.995 0.995 0.057
3 Ta 0.757 0.757 0.682
4 Se 0.259 0.259 0.199

***

Record 2
MnTc2Pd2: relaxed, PBE-GGA.

D(E_F) = 3.4 states/eV/cell
Energy above the most stable polymorph in this dataset = 1.6 kJ/mol of atoms
Crystal system = tetragonal
DFT total energy = -38.0 eV/cell

Lattice parameters (Å, degrees): 3.780 3.780 6.449 72.96 72.96 90.00
Site moments in Bohr magnetons follow the coordinates.
Fractional coordinates of all 5 atoms:
1 Tc 0.408 0.408 0.184  -0.23
2 Tc 0.592 0.592 0.816  -0.23
3 Pd 0.750 0.250 0.500  -0.04
4 Pd 0.250 0.750 0.500  -0.04
5 Mn 0.000 0.000 0.000  3.73

***

Record 3
Si2Tc: relaxed, PBE-GGA.

E_form (uncorrected) = -0.2079 eV per atom
D(E_F) = 3.0 states/eV/cell
Energy above the most stable polymorph in this dataset = 17.8 kJ/mol of atoms
Crystal system = tetragonal
DFT total energy = -43.7 eV/cell

Lattice parameters (Å, degrees): 4.870 4.870 4.870 106.15 106.15 116.35
Fractional coordinates of all 6 atoms:
1 Si 0.355 0.855 0.209
2 Si 0.855 0.645 0.500
3 Si 0.645 0.145 0.791
4 Si 0.145 0.355 0.500
5 Tc 0.250 0.250 0.000
6 Tc 0.750 0.750 0.000